No. 1
ScTa3Zn | PBE | optimized geometry

As for the calculated density: 10.07 g cm⁻³. Its total energy is -7.5027 eV per atom. The calculation puts the energy above the most stable polymorph in this dataset at 0.000 eV/atom. The formation energy is 5.6 eV per formula unit.

The structure belongs to space group Pm-3m (No. 221); the cell edges are 4.757, 4.757 and 4.757 Å and the angles 90.00°, 90.00° and 90.00°. Symmetry generates all atoms from Sc at (0.000, 0.000, 0.000), Ta at (0.000, 0.500, 0.500) and Zn at (0.500, 0.500, 0.500).



No. 2
NdHgRh | PBE | optimized geometry

As for the calculated density: 9.80 g cm⁻³. Its total energy is -4.5969 eV per atom. The formation energy is -1.4 eV per formula unit.

The structure belongs to space group F-43m (No. 216); the cell edges are 6.720, 6.720 and 6.720 Å and the angles 90.00°, 90.00° and 90.00°. Symmetry generates all atoms from Nd at (0.000, 0.000, 0.000), Hg at (0.000, 0.000, 0.500) and Rh at (0.250, 0.250, 0.250).



No. 3
RuCl3 | PBE | optimized geometry

As for the calculated density: 3.67 g cm⁻³. The uncorrected formation energy comes out at -0.047 eV per atom. Its total energy is -3.7508 eV per atom.

The structure belongs to space group Immm (No. 71); the cell edges are 3.018, 4.684 and 13.262 Å and the angles 90.00°, 90.00° and 90.00°. Symmetry generates all atoms from Ru at (0.000, 0.000, 0.000), Cl at (0.000, 0.000, 0.500) and Cl at (0.000, 0.500, 0.359).



No. 4
Ag2HgHRh | PBE | optimized geometry

As for the calculated density: 11.85 g cm⁻³. Its total energy is -3.2687 eV per atom.

The structure belongs to space group P4/mmm (No. 123); the cell edges are 4.367, 4.367 and 3.823 Å and the angles 90.00°, 90.00° and 90.00°. Symmetry generates all atoms from Ag at (0.000, 0.500, 0.000), Hg at (0.000, 0.000, 0.500), H at (0.500, 0.500, 0.000) and Rh at (0.500, 0.500, 0.500).



No. 5
Li2PtF | PBE | optimized geometry

As for the calculated density: 6.79 g cm⁻³. The uncorrected formation energy comes out at -0.631 eV per atom. Its total energy is -3.5655 eV per atom. The calculation puts the energy above the most stable polymorph in this dataset at 0.606 eV/atom.

The structure belongs to space group Fm-3m (No. 225); the cell edges are 6.065, 6.065 and 6.065 Å and the angles 90.00°, 90.00° and 90.00°. Symmetry generates all atoms from Li at (0.250, 0.250, 0.250), Pt at (0.000, 0.000, 0.000) and F at (0.000, 0.000, 0.500).



No. 6
MgMnMo | PBE | optimized geometry

As for the calculated density: 5.56 g cm⁻³. Its total energy is -6.4530 eV per atom. The calculation puts the energy above the most stable polymorph in this dataset at 0.519 eV/atom. The formation energy is 2.2 eV per formula unit.

The structure belongs to space group F-43m (No. 216); the cell edges are 5.938, 5.938 and 5.938 Å and the angles 90.00°, 90.00° and 90.00°. Symmetry generates all atoms from Mg at (0.000, 0.000, 0.000), Mn at (0.250, 0.250, 0.750) and Mo at (0.000, 0.000, 0.500).